A plane-wave DFT calculation with PBE was carried out for a geometry-optimized In2Sn2Pd7Au structure.

a = 3.848 Å, b = 3.848 Å, c = 15.881 Å
α = 83.13°, β = 83.13°, γ = 89.99°
Fractional coordinates of all 12 atoms:
In  0.631  0.631  0.738
In  0.369  0.369  0.262
Sn  0.807  0.807  0.386
Sn  0.193  0.193  0.614
Pd  0.500  0.500  0.000
Pd  0.278  0.278  0.443
Pd  0.722  0.722  0.557
Pd  0.932  0.432  0.137
Pd  0.432  0.932  0.137
Pd  0.568  0.068  0.863
Pd  0.068  0.568  0.863
Au  0.000  0.000  0.000

Output
The formation energy is -0.220 eV per atom. Its density of states at the Fermi level is 5.1 states/eV/f.u.